Here is a relaxed Ba2SrSb3Pt4 crystal from Alexandria via LeMat-Bulk. Energies are from PBE-GGA.

Calculated values
For the raw formation energy, the calculation gives -0.82 eV per atom. The raw total energy is -5.02 eV/atom. Its density of states at the Fermi level is 3.40 states/eV/cell. Its symmetry is P-4m2 (115).

Lattice parameters (Å, degrees): 4.810 4.810 11.308 90.00 90.00 90.00
Fractional positions:
Ba 0.000 0.500 0.230
Ba 0.500 0.000 0.770
Sr 0.000 0.000 0.500
Sb 0.000 0.500 0.885
Sb 0.500 0.000 0.115
Sb 0.500 0.500 0.500
Pt 0.000 0.000 0.000
Pt 0.000 0.500 0.650
Pt 0.500 0.000 0.350
Pt 0.500 0.500 0.000